Density functional theory data (PBE-GGA) for crystalline Na2ReB at its relaxed geometry.

**ΔH_f (0 K)**: 2.066 eV per atom
**Size of the total moment**: 0.697 μB per atom
**Distance to the lowest polymorph of the same formula**: 84.7 kJ per mole of atoms
**Calculated total energy**: -3.375 eV per atom
**Fermi-level density of states**: 3.666 states/eV/f.u.

Cell: 4.6488 4.6488 4.6488 Å, 60.00 60.00 60.00°
Site moments in Bohr magnetons follow the coordinates.
Fractional positions:
1 B 0.0000 0.0000 0.0000  -0.18
2 Na 0.7500 0.7500 0.7500  0.00
3 Na 0.2500 0.2500 0.2500  0.00
4 Re 0.5000 0.5000 0.5000  2.72

Density functional theory data (PBE-GGA) for crystalline NaRe2BRh at its relaxed geometry.

**ΔH_f (0 K)**: 2.590 eV per atom
**Size of the total moment**: 0.556 μB per atom
**Calculated total energy**: -5.459 eV per atom
**Fermi-level density of states**: 4.807 states/eV/f.u.

Cell: 4.6987 5.0078 4.6987 Å, 90.00 90.00 90.00°
Site moments in Bohr magnetons follow the coordinates.
Fractional positions:
1 B 0.5000 0.5000 0.5000  -0.12
2 Na 0.0000 0.5000 0.0000  -0.01
3 Rh 0.0000 0.0000 0.0000  0.00
4 Re 0.0000 0.0000 0.5000  1.38
5 Re 0.5000 0.0000 0.0000  1.31

Density functional theory data (PBE-GGA) for crystalline NaY2ReB at its relaxed geometry.

**ΔH_f (0 K)**: 2.248 eV per atom
**Size of the total moment**: 0.257 μB per atom
**Calculated total energy**: -4.426 eV per atom
**Fermi-level density of states**: 5.199 states/eV/f.u.

Cell: 5.1876 4.6112 5.1876 Å, 90.00 90.00 90.00°
Site moments in Bohr magnetons follow the coordinates.
Fractional positions:
1 Y 0.5000 0.0000 0.0000  -0.12
2 Y 0.0000 0.0000 0.5000  -0.12
3 Na 0.0000 0.0000 0.0000  0.00
4 Re 0.0000 0.5000 0.0000  1.50
5 B 0.5000 0.5000 0.5000  -0.02

Density functional theory data (PBE-GGA) for crystalline Na2ZnReB at its relaxed geometry.

**ΔH_f (0 K)**: 2.154 eV per atom
**Size of the total moment**: 0.419 μB per atom
**Calculated total energy**: -2.454 eV per atom
**Fermi-level density of states**: 3.879 states/eV/f.u.

Cell: 5.6824 4.8662 5.6824 Å, 90.00 90.00 90.00°
Site moments in Bohr magnetons follow the coordinates.
Fractional positions:
1 B 0.5000 0.5000 0.5000  -0.26
2 Zn 0.0000 0.5000 0.0000  0.01
3 Na 0.5000 0.0000 0.0000  0.01
4 Na 0.0000 0.0000 0.5000  0.00
5 Re 0.0000 0.0000 0.0000  2.45

Density functional theory data (PBE-GGA) for crystalline Na3BRh at its relaxed geometry.

**ΔH_f (0 K)**: 1.434 eV per atom
**Size of the total moment**: 0.001 μB per atom
**Distance to the lowest polymorph of the same formula**: 17.7 kJ per mole of atoms
**Calculated total energy**: -2.163 eV per atom
**Fermi-level density of states**: 5.305 states/eV/f.u.

Cell: 5.2676 5.2676 5.2676 Å, 90.00 90.00 90.00°
Fractional positions:
1 Na 0.0000 0.0000 0.5000
2 Na 0.5000 0.0000 0.0000
3 Na 0.0000 0.5000 0.0000
4 B 0.5000 0.5000 0.5000
5 Rh 0.0000 0.0000 0.0000

Density functional theory data (PBE-GGA) for crystalline NaBRh3 at its relaxed geometry.

**ΔH_f (0 K)**: 0.009 eV per atom
**Size of the total moment**: 0.000 μB per atom
**Calculated total energy**: -6.001 eV per atom
**Fermi-level density of states**: 5.091 states/eV/f.u.

Cell: 4.1499 4.1499 4.1499 Å, 90.00 90.00 90.00°
Fractional positions:
1 Rh 0.0000 0.0000 0.5000
2 Rh 0.0000 0.5000 0.0000
3 Rh 0.5000 0.0000 0.0000
4 Na 0.5000 0.5000 0.5000
5 B 0.0000 0.0000 0.0000